No. 1
The following is a PBE calculation of a relaxed structure of Sr3TiRe, from Alexandria.

* density of states at the Fermi level: 3.16 states/eV per atom
* DFT total energy: -3.724 eV/atom
* E_form: 1.354 eV/atom

a b c (Å): 5.8341 5.8341 5.8341
angles (deg): 90.00 90.00 90.00
Last column: magnetic moment on the atom in μB.
Fractional coordinates of all 5 atoms:
Re (0.0000, 0.0000, 0.0000)  1.44
Ti (0.5000, 0.5000, 0.5000)  0.01
Sr (0.0000, 0.5000, 0.0000)  0.02
Sr (0.0000, 0.0000, 0.5000)  -0.01
Sr (0.5000, 0.0000, 0.0000)  0.04



No. 2
The following is a PBE calculation of a relaxed structure of Sr2TiRe, from Alexandria.

* density of states at the Fermi level: 1.56 states/eV per atom
* DFT total energy: -5.030 eV/atom
* E_form: 0.896 eV/atom

a b c (Å): 11.7604 11.7604 8.6231
angles (deg): 47.01 47.01 90.00
Last column: magnetic moment on the atom in μB.
Fractional coordinates of all 8 atoms:
Re (0.0000, 0.0000, 0.0000)  0.23
Re (0.7500, 0.2500, 0.5000)  0.23
Ti (0.5000, 0.5000, 0.0000)  -0.20
Ti (0.2500, 0.7500, 0.5000)  -0.20
Sr (0.7962, 0.1250, 0.2500)  -0.01
Sr (0.9538, 0.6250, 0.2500)  -0.01
Sr (0.3750, 0.2038, 0.7500)  0.00
Sr (0.8750, 0.0462, 0.7500)  0.00



No. 3
The following is a PBE calculation of a relaxed structure of Sr2TiRe, from Alexandria.

* density of states at the Fermi level: 1.35 states/eV per atom
* DFT total energy: -4.575 eV/atom
* E_form: 1.352 eV/atom

a b c (Å): 5.2605 5.2605 5.2605
angles (deg): 60.00 60.00 60.00
Fractional coordinates of all 4 atoms:
Re (0.5000, 0.5000, 0.5000)
Ti (0.0000, 0.0000, 0.0000)
Sr (0.2500, 0.2500, 0.2500)
Sr (0.7500, 0.7500, 0.7500)



No. 4
The following is a PBE calculation of a relaxed structure of SrTiRe3, from Alexandria.

* density of states at the Fermi level: 1.80 states/eV per atom
* DFT total energy: -7.835 eV/atom
* E_form: 1.549 eV/atom

a b c (Å): 4.7341 4.7341 4.7341
angles (deg): 90.00 90.00 90.00
Last column: magnetic moment on the atom in μB.
Fractional coordinates of all 5 atoms:
Re (0.0000, 0.5000, 0.0000)  0.60
Re (0.0000, 0.0000, 0.5000)  0.66
Re (0.5000, 0.0000, 0.0000)  0.45
Ti (0.0000, 0.0000, 0.0000)  -0.07
Sr (0.5000, 0.5000, 0.5000)  0.03



No. 5
The following is a PBE calculation of a relaxed structure of Sr2TiVRe, from Alexandria.

* density of states at the Fermi level: 1.39 states/eV per atom
* DFT total energy: -4.856 eV/atom
* E_form: 1.709 eV/atom

a b c (Å): 5.7335 4.4130 5.7335
angles (deg): 90.00 90.00 90.00
Last column: magnetic moment on the atom in μB.
Fractional coordinates of all 5 atoms:
Re (0.5000, 0.5000, 0.5000)  2.89
V (0.0000, 0.0000, 0.0000)  1.29
Ti (0.0000, 0.5000, 0.0000)  -0.38
Sr (0.0000, 0.0000, 0.5000)  0.04
Sr (0.5000, 0.0000, 0.0000)  0.03



No. 6
The following is a PBE calculation of a relaxed structure of SrTiReW2, from Alexandria.

* density of states at the Fermi level: 1.14 states/eV per atom
* DFT total energy: -8.400 eV/atom
* E_form: 1.187 eV/atom

a b c (Å): 4.8985 4.8750 4.8985
angles (deg): 90.00 90.00 90.00
Fractional coordinates of all 5 atoms:
Re (0.0000, 0.0000, 0.0000)
Ti (0.0000, 0.5000, 0.0000)
W (0.0000, 0.0000, 0.5000)
W (0.5000, 0.0000, 0.0000)
Sr (0.5000, 0.5000, 0.5000)



No. 7
The following is a PBE calculation of a relaxed structure of SrTiRe2W, from Alexandria.

* density of states at the Fermi level: 0.87 states/eV per atom
* DFT total energy: -8.243 eV/atom
* E_form: 1.242 eV/atom

a b c (Å): 4.8801 4.8376 4.8801
angles (deg): 90.00 90.00 90.00
Last column: magnetic moment on the atom in μB.
Fractional coordinates of all 5 atoms:
Re (0.0000, 0.0000, 0.5000)  0.70
Re (0.5000, 0.0000, 0.0000)  0.48
Ti (0.0000, 0.5000, 0.0000)  -0.18
W (0.0000, 0.0000, 0.0000)  -0.06
Sr (0.5000, 0.5000, 0.5000)  0.01



No. 8
The following is a PBE calculation of a relaxed structure of Sr2TiZnRe, from Alexandria.

* density of states at the Fermi level: 1.56 states/eV per atom
* DFT total energy: -3.274 eV/atom
* E_form: 1.722 eV/atom

a b c (Å): 5.9039 4.8122 5.9039
angles (deg): 90.00 90.00 90.00
Last column: magnetic moment on the atom in μB.
Fractional coordinates of all 5 atoms:
Re (0.5000, 0.5000, 0.5000)  3.28
Zn (0.0000, 0.5000, 0.0000)  0.06
Ti (0.0000, 0.0000, 0.0000)  1.62
Sr (0.0000, 0.0000, 0.5000)  0.09
Sr (0.5000, 0.0000, 0.0000)  0.05